This record from the Alexandria database describes a relaxed structure of TbPa2CuO8. The functional is PBE.

Output
VASP energy: -8.061 eV/atom
spin magnetization: 1.86 μB/cell
formation energy from raw total energies: -2446 meV/atom

Lattice parameters (Å, degrees): 5.321 5.321 6.099 90.00 90.00 120.00
Sites, in units of the cell vectors:
Tb1 0.000 0.000 0.000
Pa1 0.333 0.667 0.379
Pa2 0.667 0.333 0.621
Cu1 0.000 0.000 0.500
O1 0.170 0.340 0.685
O2 0.170 0.830 0.685
O3 0.333 0.667 0.070
O4 0.340 0.170 0.315
O5 0.660 0.830 0.685
O6 0.667 0.333 0.930
O7 0.830 0.170 0.315
O8 0.830 0.660 0.315